## GaBi3I (PBE)

Data for a relaxed structure of GaBi3I.

Cell lengths 5.5890, 5.5890, 5.5890 Å; angles 90.00, 90.00, 90.00 degrees
Closest atoms and distances in Å follow each position.
Element x y z (fractional)
Bi 0.0000 0.5000 0.0000  2 Ga 2.79
Bi 0.0000 0.0000 0.5000  2 Ga 2.79
Bi 0.5000 0.0000 0.0000  2 Ga 2.79
Ga 0.0000 0.0000 0.0000  6 Bi 2.79
I 0.5000 0.5000 0.5000  12 Bi 3.95

## Properties
E_form (uncorrected): 0.434 eV/atom
magnetization: 0.00 μB per cell
excess energy over the best structure of this formula in the dataset: 448 meV per atom
volume: 174.6 Å³ per cell

***

## KGa2BiI6 (PBE)

Data for a relaxed structure of KGa2BiI6.

Cell lengths 8.2721, 8.2723, 8.9723 Å; angles 62.53, 62.53, 59.95 degrees
Closest atoms and distances in Å follow each position.
Element x y z (fractional)
Ga 0.5123 0.5121 0.4633  6 I 3.30-3.32
Ga 0.0016 0.0016 0.9951  6 I 3.27-3.37
Bi 0.3278 0.3277 0.0167  6 I 3.11-3.14
I 0.1408 0.3764 0.7567  1 Bi 3.14, 2 Ga 3.27-3.30
I 0.2509 0.9388 0.2394  1 Bi 3.11, 2 Ga 3.32-3.37
I 0.9388 0.5711 0.2393  1 Bi 3.11, 2 Ga 3.32-3.37
I 0.7264 0.1405 0.7568  1 Bi 3.14, 2 Ga 3.27-3.30
I 0.3764 0.7263 0.7566  1 Bi 3.14, 2 Ga 3.27-3.30
I 0.5708 0.2510 0.2394  1 Bi 3.11, 2 Ga 3.32-3.37
K 0.8159 0.8160 0.5520  6 I 3.52-3.68

## Properties
E_form (uncorrected): -0.601 eV/atom
magnetization: 0.00 μB per cell
volume: 449.8 Å³ per cell